Crystalline Sr2ReMo at its relaxed geometry. Source: the Alexandria database, functional GGA-PBE.

**Energy relative to the elements**: 0.6519 eV per atom
**Energy relative to the lowest polymorph listed for this composition**: 0.196 eV per atom
**DOS at the Fermi energy**: 3.44 states/eV/f.u.
**Calculated density**: 6.853 Mg/m³

The structure in CIF format:
```
data_Sr2ReMo
_chemical_formula_sum 'Sr2 Re1 Mo1'
_symmetry_space_group_name_H-M 'P 1'
_symmetry_Int_Tables_number 1
_cell_length_a 6.324
_cell_length_b 6.324
_cell_length_c 6.324
_cell_angle_alpha 146.17
_cell_angle_beta 127.25
_cell_angle_gamma 64.15
loop_
_symmetry_equiv_pos_as_xyz
'x,y,z'
loop_
_atom_site_label
_atom_site_type_symbol
_atom_site_fract_x
_atom_site_fract_y
_atom_site_fract_z
_atom_site_occupancy
Sr1 Sr 0.000 0.000 0.000 1
Sr2 Sr 0.708 0.208 0.500 1
Re1 Re 0.433 0.433 0.000 1
Mo1 Mo 0.292 0.792 0.500 1
```